1.
A relaxed structure of Ti3CrF. Source: Alexandria, functional PBE+U.

The structure in CIF format:
```
data_Ti3CrF
_symmetry_space_group_name_H-M 'P 1'
_symmetry_Int_Tables_number 1
_symmetry_space_group_name_Hall 'P 1'
_cell_length_a 4.622
_cell_length_b 4.622
_cell_length_c 4.622
_cell_angle_alpha 90.00
_cell_angle_beta 90.00
_cell_angle_gamma 90.00
loop_
_atom_site_label
_atom_site_type_symbol
_atom_site_fract_x
_atom_site_fract_y
_atom_site_fract_z
_atom_site_occupancy
Ti1 Ti 0.000 0.500 0.000 1
Ti2 Ti 0.000 0.000 0.500 1
Ti3 Ti 0.500 0.000 0.000 1
F1 F 0.500 0.500 0.500 1
Cr1 Cr 0.000 0.000 0.000 1
```

## Properties
Energy above the lowest structure with this stoichiometry in meV/atom: 1302.6
Electronic total energy in eV/atom: -5.679
Space group: Pm-3m (221)


2.
A relaxed structure of TiCrF3. Source: Alexandria, functional PBE+U.

The structure in CIF format:
```
data_TiCrF3
_symmetry_space_group_name_H-M 'P 1'
_symmetry_Int_Tables_number 1
_symmetry_space_group_name_Hall 'P 1'
_cell_length_a 4.186
_cell_length_b 4.186
_cell_length_c 4.186
_cell_angle_alpha 90.00
_cell_angle_beta 90.00
_cell_angle_gamma 90.00
loop_
_atom_site_label
_atom_site_type_symbol
_atom_site_fract_x
_atom_site_fract_y
_atom_site_fract_z
_atom_site_occupancy
Cr1 Cr 0.000 0.000 0.000 1
Ti1 Ti 0.500 0.500 0.500 1
F1 F 0.000 0.500 0.000 1
F2 F 0.000 0.000 0.500 1
F3 F 0.500 0.000 0.000 1
```

## Properties
Energy above the lowest structure with this stoichiometry in meV/atom: 543.4
Electronic total energy in eV/atom: -5.765
Space group: Pm-3m (221)


Question: electronic total energy of number 1 (Ti3CrF)?
Answer: -5.679 eV/atom